# Ac5In2Ir

An optimized crystal structure of Ac5In2Ir (PBE-GGA, Alexandria via LeMat-Bulk).

Total DFT energy (no corrections) (eV/cell): -76.76
Formation enthalpy at 0 K (kJ per mole of atoms): -42.2
Total moment (Bohr magnetons per cell): 0.00

The structure in CIF format:
```
data_Ac5In2Ir
_chemical_formula_sum 'Ac10 In4 Ir2'
_space_group_name_H-M_alt 'P b a m'
_space_group_IT_number 55
_cell_length_a 8.9264
_cell_length_b 13.1256
_cell_length_c 4.9908
_cell_angle_alpha 90.00
_cell_angle_beta 90.00
_cell_angle_gamma 90.00
loop_
_space_group_symop_operation_xyz
'x,y,z'
'-x,-y,-z'
'-x,-y,z'
'x,y,-z'
'x+1/2,-y+1/2,-z'
'-x+1/2,y+1/2,z'
'-x+1/2,y+1/2,-z'
'x+1/2,-y+1/2,z'
loop_
_atom_site_label
_atom_site_type_symbol
_atom_site_fract_x
_atom_site_fract_y
_atom_site_fract_z
_atom_site_occupancy
Ac1 Ac 0.0000 0.0000 0.0000 1
Ac2 Ac 0.1396 0.2994 0.0000 1
Ac3 Ac 0.1809 0.5694 0.5000 1
In1 In 0.0732 0.8308 0.5000 1
Ir1 Ir 0.0000 0.5000 0.0000 1
```